(1)
This record from Alexandria describes a relaxed Pm3YTl2S crystal. The functional is PBE.

```
7
Lattice="-4.1012 0.8185 2.9596 -3.1335 -1.3838 -3.9596 3.8765 -7.4522 2.9982" Properties=species:S:1:pos:R:3 pbc="T T T"
Tl -3.5496 -2.3047 0.1531
Pm -1.5668 -0.6919 -1.9798
Tl 0.1914 -5.7128 1.8451
Pm 0.0897 -2.6779 0.8649
Y -2.0506 0.4092 1.4798
Pm -3.4480 -5.3396 1.1332
S 0.0000 0.0000 0.0000
```

Output
Space group: Immm, No. 71
V: 218 Å³/cell
Formation energy (no corrections): -0.690 eV/atom
Mass density: 7.3 g/cm³
Spin magnetization: 0.00 μB/f.u.

***

(2)
This record from Alexandria describes a relaxed PmY3Tl2S crystal. The functional is PBE.

```
7
Lattice="5.2176 0.0000 0.0000 0.0000 5.1076 0.0000 -2.6088 -2.5538 7.9715" Properties=species:S:1:pos:R:3 pbc="T T T"
S 0.0000 0.0000 0.0000
Y 0.0000 2.5538 0.0000
Y 0.0000 0.0000 2.7509
Tl 2.6088 2.5538 2.1219
Pm 2.6088 0.0000 0.0000
Tl 0.0000 0.0000 5.8495
Y 2.6088 2.5538 5.2205
```

Output
Space group: Immm, No. 71
V: 212 Å³/cell
Formation energy (no corrections): -0.645 eV/atom
Mass density: 6.7 g/cm³
Spin magnetization: 0.00 μB/f.u.

***

(3)
This record from Alexandria describes a relaxed Pm3ZrTl4S8 crystal. The functional is PBE.

```
16
Lattice="-7.1362 1.3662 3.5022 1.5360 -6.6375 5.7191 5.5121 5.8795 -0.3500" Properties=species:S:1:pos:R:3 pbc="T T T"
S 4.8738 1.4068 4.4365
S -2.0269 2.3321 4.2481
S -4.9619 -0.7987 4.4348
Pm 3.5240 -0.3790 2.6846
Tl -3.5681 0.6831 1.7511
Tl -0.8120 3.6229 1.5761
S 1.9388 -1.7239 4.6231
Zr 0.7680 -3.3188 2.8595
Tl 2.7561 2.9398 -0.1750
S -1.5626 -0.9185 6.4624
Pm -0.0440 0.3041 4.4356
Pm -2.8001 -2.6357 4.6106
S 1.0739 2.1344 6.3014
Tl 0.0000 0.0000 0.0000
S -1.1620 -1.5262 2.5699
S 1.4745 1.5267 2.4089
```

Output
Space group: R-3m, No. 166
V: 427 Å³/cell
Formation energy (no corrections): -1.345 eV/atom
Mass density: 6.2 g/cm³
Spin magnetization: 0.00 μB/f.u.

***

(4)
This record from Alexandria describes a relaxed Pm3ZrTl3S8 crystal. The functional is PBE.

```
15
Lattice="-7.1244 2.7180 2.7356 1.3255 -7.9677 -0.6267 4.1685 4.2977 6.5860" Properties=species:S:1:pos:R:3 pbc="T T T"
Pm -0.8152 -0.4760 4.3474
S 1.9091 0.0794 4.8931
Zr 2.0842 2.1489 3.2930
Pm 2.7470 -1.8350 2.9796
Tl -2.8994 -2.6248 1.0544
S -4.2490 3.2333 4.1375
S 0.0476 -2.2340 2.3436
S -3.5395 -1.0313 3.8018
Pm -1.4780 3.5079 4.6608
S -1.1948 -2.7304 6.0217
S -0.4356 1.7785 2.6732
Tl 0.6628 -3.9838 -0.3134
S 2.6186 -4.1852 4.5574
S -1.6780 1.2821 6.3513
Tl 0.0000 0.0000 0.0000
```

Output
Space group: R-3m, No. 166
V: 430 Å³/cell
Formation energy (no corrections): -1.478 eV/atom
Mass density: 5.4 g/cm³
Spin magnetization: 0.00 μB/f.u.

***

(5)
This record from Alexandria describes a relaxed Pm2ZrTl2S6 crystal. The functional is PBE.

```
11
Lattice="6.9246 0.0012 0.0622 -3.4215 6.0203 0.0622 -1.2502 -2.1490 7.4972" Properties=species:S:1:pos:R:3 pbc="T T T"
Pm 2.8507 0.9332 3.8108
S -1.7041 0.7775 5.2429
Tl 5.1757 1.0187 0.0622
S 1.7895 3.0760 5.3285
Pm -0.5978 2.9394 3.8108
Zr -0.6251 -1.0745 3.7486
S 0.7348 4.9696 2.3787
S 1.5182 -1.0971 5.2429
S 3.9570 3.0950 2.3787
S 0.4634 0.7965 2.2931
Tl -1.6725 5.0028 0.0622
```

Output
Space group: C2/m, No. 12
V: 314 Å³/cell
Formation energy (no corrections): -1.478 eV/atom
Mass density: 5.2 g/cm³
Spin magnetization: 0.00 μB/f.u.

***

(6)
This record from Alexandria describes a relaxed PmTm6S8 crystal. The functional is PBE.

```
15
Lattice="6.6646 0.0000 3.8478 2.2215 6.2835 3.8478 0.0000 0.0000 7.6957" Properties=species:S:1:pos:R:3 pbc="T T T"
S 3.3723 4.6561 5.8409
Tm 4.4431 3.1417 3.8478
Tm 1.1108 3.1417 5.7717
S 5.5139 1.6274 9.5504
Tm 1.1108 3.1417 1.9239
Tm 0.0000 0.0000 3.8478
S 3.3723 4.6561 9.5504
Tm 3.3323 0.0000 5.7717
S 6.6646 4.7126 11.5435
S 2.3014 1.6274 7.6957
S 2.2215 1.5709 3.8478
Tm 3.3323 0.0000 1.9239
Pm 0.0000 0.0000 0.0000
S 6.5848 4.6561 7.6957
S 5.5139 1.6274 5.8409
```

Output
Space group: Fm-3m, No. 225
V: 322 Å³/cell
Formation energy (no corrections): -1.999 eV/atom
Mass density: 7.3 g/cm³
Spin magnetization: 0.00 μB/f.u.

***

(7)
This record from Alexandria describes a relaxed PmTm3S4 crystal. The functional is PBE.

```
8
Lattice="-2.3233 -3.0559 -0.1860 0.3451 0.1490 -6.7598 4.9823 -3.9313 2.3575" Properties=species:S:1:pos:R:3 pbc="T T T"
Tm 2.4912 -1.9657 1.1787
S 2.6344 -4.4154 -0.0680
Pm -1.1616 -1.5280 -0.0930
Tm 0.1725 0.0745 -3.3799
S 1.3963 -0.9913 -1.1538
S 0.3698 -2.4228 -4.5203
Tm 1.5021 -3.4191 -2.2942
S 3.9311 -2.7910 -3.2485
```

Output
Space group: Cmmm, No. 65
V: 167 Å³/cell
ΔE to the lowest computed polymorph: 0 meV/atom
Formation energy (no corrections): -1.949 eV/atom
Mass density: 7.8 g/cm³
Spin magnetization: 0.00 μB/f.u.

***

(8)
This record from Alexandria describes a relaxed Pm2TmS3 crystal. The functional is PBE.

```
12
Lattice="-1.5556 -1.2330 -3.3758 3.2545 -1.6806 1.3856 -11.1629 -13.3549 10.0218" Properties=species:S:1:pos:R:3 pbc="T T T"
S -2.0273 -5.9322 3.1010
S -7.4366 -10.3363 4.9307
Pm -4.6013 -6.9442 2.3852
Pm -4.8626 -9.3242 5.6464
S 0.0000 0.0000 0.0000
S -9.2122 -12.4605 6.5247
S -0.2518 -3.8080 1.5069
Pm -8.5794 -13.7709 8.9833
Tm -8.3722 -10.0162 7.5164
S -5.5815 -6.6774 5.0109
Pm -0.8845 -2.4976 -0.9516
Tm -2.7907 -3.3387 2.5055
```

Output
Space group: P6_3/mmc, No. 194
V: 267 Å³/cell
Formation energy (no corrections): -1.968 eV/atom
Mass density: 6.9 g/cm³
Spin magnetization: 0.00 μB/f.u.

***

Question: Which formula does entry 3 have?
Answer: Pm3ZrTl4S8